Record 1
This record from the Alexandria database describes crystalline Sc3RuS at its relaxed geometry. The functional is GGA-PBE.

POSCAR file:
```
Sc3RuS
1.0
4.9604 0.0000 0.0000
0.0000 4.9604 0.0000
0.0000 0.0000 4.9604
Ru Sc S
1 3 1
Direct
0.0000 0.0000 0.0000 Ru
0.5000 0.0000 0.0000 Sc
0.0000 0.5000 0.0000 Sc
0.0000 0.0000 0.5000 Sc
0.5000 0.5000 0.5000 S
```

VASP energy, eV for the cell shown: -33.1
Space group: Pm-3m
Density, g/cm³: 3.646


Record 2
This record from the Alexandria database describes crystalline ScRuS2 at its relaxed geometry. The functional is GGA-PBE.

POSCAR file:
```
ScRuS2
1.0
1.8014 -3.9205 0.8607
-2.1777 -2.9302 2.4551
-1.6476 -3.6330 -1.8555
S Sc Ru
2 1 1
Direct
0.7500 0.7500 0.7500 S
0.2500 0.2500 0.2500 S
0.0000 0.0000 0.0000 Sc
0.5000 0.5000 0.5000 Ru
```

VASP energy, eV for the cell shown: -26.5
Space group: Fm-3m
Density, g/cm³: 5.795


The highest VASP energy belongs to which entry?
ScRuS2


Which value of density does entry 1 give?
3.646 g/cm³


Which of these has the highest VASP energy?
ScRuS2


Repeat the first record exactly.
This record from the Alexandria database describes crystalline Sc3RuS at its relaxed geometry. The functional is GGA-PBE.

POSCAR file:
```
Sc3RuS
1.0
4.9604 0.0000 0.0000
0.0000 4.9604 0.0000
0.0000 0.0000 4.9604
Ru Sc S
1 3 1
Direct
0.0000 0.0000 0.0000 Ru
0.5000 0.0000 0.0000 Sc
0.0000 0.5000 0.0000 Sc
0.0000 0.0000 0.5000 Sc
0.5000 0.5000 0.5000 S
```

VASP energy, eV for the cell shown: -33.1
Space group: Pm-3m
Density, g/cm³: 3.646